TaTeBr2 PBE optimized geometry; spin magnetization = 0.96 μB per cell; excess energy over the best structure of this formula in the dataset = 3.35 eV per formula unit; space-group type = I-4m2; energy relative to the elements, uncorrected = 397 meV/atom; energy = -4.19 eV per atom
1.0
-2.523 2.523 3.561
2.523 -2.523 3.561
2.523 2.523 -3.561
Ta Te Br
1 1 2
Cartesian
0.000 0.000 0.000
2.523 0.000 1.780
0.000 0.000 3.561
0.000 2.523 1.780

***

Ta4Hg PBE optimized geometry; spin magnetization = 0.00 μB per cell; excess energy over the best structure of this formula in the dataset = 3.39 eV per formula unit; space-group type = I4/mmm; ΔH_f (0 K) = 0.869 eV/atom; energy = -8.67 eV per atom
1.0
-1.947 1.947 6.868
1.947 -1.947 6.868
1.947 1.947 -6.868
Ta Hg
4 1
Cartesian
0.000 0.000 1.341
1.947 0.000 3.434
0.000 1.947 3.434
0.000 0.000 12.396
0.000 0.000 6.868

***

LiCuSi2O5 PBE optimized geometry; spin magnetization = 0.11 μB per cell; space-group type = P2_1; energy relative to the elements, uncorrected = -2223 meV/atom; energy = -6.85 eV per atom
1.0
5.815 0.000 0.000
0.000 4.977 0.000
-2.549 0.000 7.644
Li Cu Si O
2 2 4 10
Cartesian
-0.456 0.000 2.388
3.721 2.489 5.255
-0.297 2.711 0.965
3.563 0.222 6.678
0.747 2.479 3.921
2.394 4.864 0.749
0.871 2.375 6.895
2.518 4.967 3.722
-0.289 3.012 2.828
0.811 0.214 0.868
0.083 2.606 5.435
1.107 0.871 3.698
2.610 3.288 0.340
0.656 0.800 7.303
2.158 3.360 3.946
3.183 0.118 2.208
2.455 2.702 6.775
3.555 0.524 4.816

***

Rb2NaIO6 PBE optimized geometry; spin magnetization = 2.00 μB per cell; space-group type = Fm-3m; energy relative to the elements, uncorrected = -914 meV/atom; energy = -4.37 eV per atom
1.0
0.000 4.379 4.379
4.379 0.000 4.379
4.379 4.379 0.000
Rb Na I O
2 1 1 6
Cartesian
2.189 2.189 2.189
6.568 6.568 6.568
0.000 0.000 0.000
4.379 4.379 4.379
4.379 4.379 2.489
4.379 2.489 4.379
6.269 4.379 4.379
2.489 4.379 4.379
4.379 6.269 4.379
4.379 4.379 6.269

***

FeSiAg2Se PBE optimized geometry; spin magnetization = 0.01 μB per cell; space-group type = P4/mmm; energy relative to the elements, uncorrected = 957 meV/atom; energy = -3.66 eV per atom
1.0
4.995 0.000 0.000
0.000 4.995 0.000
0.000 0.000 4.298
Fe Si Ag Se
1 1 2 1
Cartesian
0.000 0.000 0.000
2.498 2.498 0.000
0.000 2.498 2.149
2.498 0.000 2.149
0.000 0.000 2.149

***

Pr5Y4Sc PBE optimized geometry; spin magnetization = 0.00 μB per cell; excess energy over the best structure of this formula in the dataset = 0.00 eV per formula unit; space-group type = P4/mmm; ΔH_f (0 K) = 0.023 eV/atom; energy = -5.59 eV per atom
1.0
3.650 0.000 0.000
0.000 3.650 0.000
0.000 0.000 25.018
Pr Y Sc
5 4 1
Cartesian
0.000 0.000 0.000
0.000 0.000 5.118
0.000 0.000 10.218
0.000 0.000 14.799
0.000 0.000 19.900
1.825 1.825 2.559
1.825 1.825 7.673
1.825 1.825 17.344
1.825 1.825 22.459
1.825 1.825 12.509

***

NpCoH6Rh PBE optimized geometry; spin magnetization = 2.29 μB per cell; space-group type = P-6m2; energy = -5.42 eV per atom
1.0
4.491 0.000 0.000
-2.246 3.889 0.000
0.000 0.000 4.142
Np Co H Rh
1 1 6 1
Cartesian
0.000 0.000 0.000
2.246 1.296 2.071
2.246 0.067 0.942
2.246 0.067 3.200
1.181 1.911 0.942
1.181 1.911 3.200
3.310 1.911 0.942
3.310 1.911 3.200
0.000 2.593 2.071

***

YUSn6 PBE optimized geometry; spin magnetization = 2.51 μB per cell; space-group type = P4/mmm; ΔH_f (0 K) = -0.275 eV/atom; energy = -5.50 eV per atom
1.0
4.670 0.000 0.000
0.000 4.670 0.000
0.000 0.000 9.363
Y U Sn
1 1 6
Cartesian
0.000 0.000 0.000
0.000 0.000 4.682
0.000 2.335 2.371
0.000 2.335 6.992
2.335 0.000 2.371
2.335 0.000 6.992
2.335 2.335 0.000
2.335 2.335 4.682